Entry 1:
Density functional theory data (PBE) for a geometry-optimized AlTcBr structure.

Energy relative to the elements, uncorrected = 0.3366 eV per atom
Relative energy among the computed polymorphs = 79 meV per atom
E = -14.77 eV per cell
Space group = I4mm (107)
Crystal system = tetragonal

a b c (Å): 6.457 6.457 6.457
angles (deg): 151.83 151.83 40.26
Sites, in units of the cell vectors:
Tc  0.653  0.653  0.000
Br  0.300  0.300  0.000
Al  0.047  0.047  0.000



Entry 2:
Density functional theory data (PBE) for a geometry-optimized TiNbZnO2 structure.

Energy relative to the elements, uncorrected = 0.4679 eV per atom
E = -26.82 eV per cell
Space group = P4/mmm (123)
Crystal system = tetragonal

a b c (Å): 3.875 4.971 3.875
angles (deg): 90.00 90.00 90.00
Sites, in units of the cell vectors:
Nb  0.000  0.500  0.000
Zn  0.000  0.000  0.000
O  0.000  0.000  0.500
O  0.500  0.000  0.000
Ti  0.500  0.500  0.500



Q: Which of these has the highest energy relative to the elements, uncorrected?
A: TiNbZnO2



Repeat the second record exactly.
Density functional theory data (PBE) for a geometry-optimized TiNbZnO2 structure.

Energy relative to the elements, uncorrected = 0.4679 eV per atom
E = -26.82 eV per cell
Space group = P4/mmm (123)
Crystal system = tetragonal

a b c (Å): 3.875 4.971 3.875
angles (deg): 90.00 90.00 90.00
Sites, in units of the cell vectors:
Nb  0.000  0.500  0.000
Zn  0.000  0.000  0.000
O  0.000  0.000  0.500
O  0.500  0.000  0.000
Ti  0.500  0.500  0.500



Q: Among the records above, which one has the highest E?
A: AlTcBr